[1]
A relaxed Nd6Al2N crystal. Source: the Alexandria database, functional GGA-PBE.

Cell: 7.0579 7.0579 7.0579 Å, 60.00 60.00 60.00°
Closest atoms and distances in Å follow each position.
Sites, in units of the cell vectors:
Nd (0.2454, 0.2454, 0.7546)  1 N 2.45
Nd (0.2454, 0.7546, 0.2454)  1 N 2.45
Nd (0.2454, 0.7546, 0.7546)  1 N 2.45
Nd (0.7546, 0.2454, 0.2454)  1 N 2.45
Nd (0.7546, 0.2454, 0.7546)  1 N 2.45
Nd (0.7546, 0.7546, 0.2454)  1 N 2.45
Al (0.2500, 0.2500, 0.2500)  12 Nd 3.53
Al (0.7500, 0.7500, 0.7500)  12 Nd 3.53
N (0.0000, 0.0000, 0.0000)  6 Nd 2.45

Summary:
Magnetic moment   0.00 μB per cell
ΔE_f (raw)   -0.436 eV per atom
Crystal system   cubic

=====

[2]
A relaxed MgTcTe3 crystal. Source: the Alexandria database, functional GGA-PBE.

Cell: 5.2754 5.2754 5.2754 Å, 90.00 90.00 90.00°
Closest atoms and distances in Å follow each position.
Sites, in units of the cell vectors:
Mg (0.0000, 0.0000, 0.0000)  12 Te 3.73
Tc (0.5000, 0.5000, 0.5000)  6 Te 2.64
Te (0.0000, 0.5000, 0.5000)  2 Tc 2.64
Te (0.5000, 0.0000, 0.5000)  2 Tc 2.64
Te (0.5000, 0.5000, 0.0000)  2 Tc 2.64

Summary:
Magnetic moment   0.00 μB per cell
ΔE_f (raw)   0.379 eV per atom
Crystal system   cubic

=====

[3]
A relaxed Cu2As crystal. Source: the Alexandria database, functional GGA-PBE.

Cell: 4.4069 4.4069 4.4069 Å, 134.67 134.67 66.05°
Closest atoms and distances in Å follow each position.
Sites, in units of the cell vectors:
Cu (0.1678, 0.1678, 0.0000)  5 As 2.45-2.70, 5 Cu 2.48-2.69
Cu (0.8322, 0.8322, 0.0000)  5 As 2.45-2.70, 5 Cu 2.48-2.69
As (0.5000, 0.5000, 0.0000)  10 Cu 2.45-2.70

Summary:
Magnetic moment   0.00 μB per cell
Crystal system   tetragonal
Energy relative to the elements   0.105 eV/atom

=====

[4]
A relaxed Ca2Ac3Tl3 crystal. Source: the Alexandria database, functional GGA-PBE.

Cell: 12.5658 12.5658 12.5658 Å, 161.29 152.92 33.12°
Closest atoms and distances in Å follow each position.
Sites, in units of the cell vectors:
Ca (0.2358, 0.2358, 0.0000)  2 Tl 3.23
Ca (0.7642, 0.7642, 0.0000)  2 Tl 3.23
Ac (0.0000, 0.0000, 0.0000)  8 Tl 3.58-3.78
Ac (0.3813, 0.8813, 0.5000)  6 Tl 3.51-3.60
Ac (0.6187, 0.1187, 0.5000)  6 Tl 3.51-3.60
Tl (0.1319, 0.6319, 0.5000)  2 Ca 3.23, 4 Ac 3.60
Tl (0.5000, 0.5000, 0.0000)  8 Ac 3.51-3.58
Tl (0.8681, 0.3681, 0.5000)  2 Ca 3.23, 4 Ac 3.60

Summary:
Magnetic moment   0.94 μB per cell
Crystal system   orthorhombic
Energy relative to the elements   -0.254 eV/atom

=====

[5]
A relaxed TaV2Ga crystal. Source: the Alexandria database, functional GGA-PBE.

Cell: 6.4548 3.8488 9.9143 Å, 90.00 90.00 90.00°
Closest atoms and distances in Å follow each position.
Sites, in units of the cell vectors:
Ta (0.2487, 0.2500, 0.1808)  7 V 2.73-3.05, 3 Ga 2.91-2.94
Ta (0.2513, 0.7500, 0.6808)  7 V 2.73-3.05, 3 Ga 2.91-2.94
Ta (0.7487, 0.2500, 0.3192)  7 V 2.73-3.05, 3 Ga 2.91-2.94
Ta (0.7513, 0.7500, 0.8192)  7 V 2.73-3.05, 3 Ga 2.91-2.94
V (0.0663, 0.2500, 0.8347)  3 V 2.35-2.51, 2 Ga 2.56-2.57
V (0.1687, 0.7500, 0.9837)  3 V 2.35-2.51
V (0.3313, 0.2500, 0.4837)  3 V 2.35-2.51
V (0.4337, 0.7500, 0.3347)  3 V 2.35-2.51, 2 Ga 2.56-2.57
V (0.5663, 0.2500, 0.6653)  3 V 2.35-2.51, 2 Ga 2.56-2.57
V (0.6687, 0.7500, 0.5163)  3 V 2.35-2.51
V (0.8313, 0.2500, 0.0163)  3 V 2.35-2.51
V (0.9337, 0.7500, 0.1653)  3 V 2.35-2.51, 2 Ga 2.56-2.57
Ga (0.0558, 0.7500, 0.4125)  5 V 2.56-2.71, 2 Ga 2.69
Ga (0.4442, 0.2500, 0.9125)  5 V 2.56-2.71, 2 Ga 2.69
Ga (0.5558, 0.7500, 0.0875)  5 V 2.56-2.71, 2 Ga 2.69
Ga (0.9442, 0.2500, 0.5875)  5 V 2.56-2.71, 2 Ga 2.69

Summary:
Magnetic moment   0.00 μB per cell
Crystal system   orthorhombic
Energy relative to the elements   0.078 eV/atom

=====

[6]
A relaxed BaMgAlZn2 crystal. Source: the Alexandria database, functional GGA-PBE.

Cell: 6.7318 6.7318 6.7318 Å, 140.55 140.55 57.01°
Closest atoms and distances in Å follow each position.
Sites, in units of the cell vectors:
Ba (0.0000, 0.0000, 0.0000)  8 Zn 3.50, 4 Al 3.73, 4 Mg 3.73
Mg (0.2500, 0.7500, 0.5000)  4 Zn 2.76
Al (0.7500, 0.2500, 0.5000)  4 Zn 2.76
Zn (0.3828, 0.3828, 0.0000)  2 Al 2.76, 2 Mg 2.76, 1 Zn 2.77
Zn (0.6172, 0.6172, 0.0000)  2 Mg 2.76, 2 Al 2.76, 1 Zn 2.77

Summary:
Magnetic moment   0.00 μB per cell
Crystal system   tetragonal
Energy relative to the elements   -0.191 eV/atom

=====

[7]
A relaxed P3HI crystal. Source: the Alexandria database, functional GGA-PBE.

Cell: 5.2569 5.2569 5.2569 Å, 90.00 90.00 90.00°
Closest atoms and distances in Å follow each position.
Sites, in units of the cell vectors:
P (0.0000, 0.0000, 0.5000)  2 I 2.63
P (0.0000, 0.5000, 0.0000)  2 I 2.63
P (0.5000, 0.0000, 0.0000)  2 I 2.63
H (0.5000, 0.5000, 0.5000)  12 P 3.72
I (0.0000, 0.0000, 0.0000)  6 P 2.63

Summary:
Magnetic moment   0.81 μB per cell
DFT total energy   -2.149 eV per atom
Crystal system   cubic

=====

[8]
A relaxed Ba2YCu crystal. Source: the Alexandria database, functional GGA-PBE.

Cell: 6.9176 6.9176 6.9176 Å, 137.75 137.75 61.29°
Closest atoms and distances in Å follow each position.
Sites, in units of the cell vectors:
Ba (0.0000, 0.0000, 0.0000)  4 Y 3.53, 4 Ba 3.88, 4 Cu 3.88
Ba (0.7500, 0.2500, 0.5000)  4 Cu 3.53, 4 Ba 3.88, 4 Y 3.88
Y (0.5000, 0.5000, 0.0000)  8 Ba 3.53-3.88, 4 Cu 3.88
Cu (0.2500, 0.7500, 0.5000)  8 Ba 3.53-3.88, 4 Y 3.88

Summary:
Magnetic moment   0.01 μB per cell
Crystal system   tetragonal
Energy relative to the elements   0.439 eV/atom